Entry 1:
First-principles (GGA-PBE) data for LuZnCuMo after structural relaxation, as listed in OQMD via LeMat-Bulk.

Cell and atoms, written as POSCAR:
```
LuZnCuMo
1.0
6.520 0.000 0.000
0.000 6.520 0.000
0.000 0.000 6.520
Lu Zn Cu Mo
4 4 4 4
direct
0.000 0.000 0.000
0.000 0.500 0.500
0.500 0.000 0.500
0.500 0.500 0.000
0.000 0.000 0.500
0.000 0.500 0.000
0.500 0.000 0.000
0.500 0.500 0.500
0.250 0.250 0.750
0.250 0.750 0.250
0.750 0.250 0.250
0.750 0.750 0.750
0.250 0.250 0.250
0.250 0.750 0.750
0.750 0.250 0.750
0.750 0.750 0.250
```

Calculated values
Its crystal system is cubic. The value obtained for the excess energy over the best structure of this formula in the dataset is 0.0 meV/atom. As for the space-group type: F-43m, No. 216. For the calculated formation energy, the calculation gives 1.42 eV/f.u. The total magnetization is 1.96 μB per formula unit.



Entry 2:
First-principles (GGA-PBE) data for LuZnCuMo after structural relaxation, as listed in OQMD via LeMat-Bulk.

Cell and atoms, written as POSCAR:
```
LuZnCuMo
1.0
6.530 0.000 0.000
0.000 6.530 0.000
0.000 0.000 6.530
Lu Zn Cu Mo
4 4 4 4
direct
0.000 0.000 0.000
0.000 0.500 0.500
0.500 0.000 0.500
0.500 0.500 0.000
0.250 0.250 0.250
0.250 0.750 0.750
0.750 0.250 0.750
0.750 0.750 0.250
0.000 0.000 0.500
0.000 0.500 0.000
0.500 0.000 0.000
0.500 0.500 0.500
0.250 0.250 0.750
0.250 0.750 0.250
0.750 0.250 0.250
0.750 0.750 0.750
```

Calculated values
Its crystal system is cubic. The value obtained for the excess energy over the best structure of this formula in the dataset is 90.7 meV/atom. As for the space-group type: F-43m, No. 216. For the calculated formation energy, the calculation gives 1.78 eV/f.u. The total magnetization is 2.28 μB per formula unit.



Entry 3:
First-principles (GGA-PBE) data for Lu4Nb2Cu3N3 after structural relaxation, as listed in OQMD via LeMat-Bulk.

Cell and atoms, written as POSCAR:
```
Lu4Nb2Cu3N3
1.0
4.937 -2.859 0.000
4.937 2.859 0.000
-3.337 0.000 13.443
Lu Nb Cu N
8 4 6 6
direct
0.039 0.198 0.105
0.124 0.300 0.395
0.198 0.039 0.605
0.300 0.124 0.895
0.700 0.876 0.105
0.802 0.961 0.395
0.876 0.700 0.605
0.961 0.802 0.895
0.356 0.526 0.075
0.474 0.644 0.425
0.526 0.356 0.575
0.644 0.474 0.925
0.159 0.841 0.250
0.335 0.412 0.751
0.412 0.335 0.251
0.588 0.665 0.749
0.665 0.588 0.249
0.841 0.159 0.750
0.000 0.500 0.000
0.163 0.669 0.500
0.331 0.837 0.000
0.500 0.000 0.500
0.669 0.163 0.000
0.837 0.331 0.500
```

Calculated values
Its crystal system is monoclinic. As for the space-group type: C2/c, No. 15. The total magnetization is 0.00 μB per formula unit. As for the total energy: -6.969 eV per atom.